Record 1
A geometry-optimized Cd3H3Pt2 structure. Source: Alexandria via LeMat-Bulk, functional PBE-GGA.

abc: 5.000 5.000 14.075
angles: 90.00 90.00 139.39
Fractional coordinates of all 16 atoms:
1 Cd 0.056 0.944 0.750
2 Cd 0.360 0.640 0.062
3 Cd 0.360 0.640 0.438
4 Cd 0.640 0.360 0.562
5 Cd 0.640 0.360 0.938
6 Cd 0.944 0.056 0.250
7 H 0.123 0.877 0.123
8 H 0.123 0.877 0.377
9 H 0.280 0.720 0.750
10 H 0.720 0.280 0.250
11 H 0.877 0.123 0.623
12 H 0.877 0.123 0.877
13 Pt 0.365 0.635 0.638
14 Pt 0.365 0.635 0.862
15 Pt 0.635 0.365 0.138
16 Pt 0.635 0.365 0.362

Calculated values
* calculated total energy: -51.6 eV/cell
* crystal system: orthorhombic

Record 2
A geometry-optimized Cd2H2Pt structure. Source: Alexandria via LeMat-Bulk, functional PBE-GGA.

abc: 5.447 5.447 4.619
angles: 90.00 90.00 90.00
Fractional coordinates of all 10 atoms:
1 Cd 0.185 0.315 0.000
2 Cd 0.315 0.815 0.000
3 Cd 0.685 0.185 0.000
4 Cd 0.815 0.685 0.000
5 H 0.249 0.251 0.500
6 H 0.251 0.751 0.500
7 H 0.749 0.249 0.500
8 H 0.751 0.749 0.500
9 Pt 0.000 0.000 0.500
10 Pt 0.500 0.500 0.500

Calculated values
* calculated total energy: -28.5 eV/cell
* crystal system: tetragonal

Record 3
A geometry-optimized CdH3Pt4 structure. Source: Alexandria via LeMat-Bulk, functional PBE-GGA.

abc: 7.344 5.031 5.396
angles: 90.00 90.00 90.00
Fractional coordinates of all 16 atoms:
1 Cd 0.000 0.167 0.000
2 Cd 0.500 0.833 0.500
3 H 0.000 0.846 0.401
4 H 0.194 0.762 0.931
5 H 0.306 0.238 0.431
6 H 0.500 0.154 0.901
7 H 0.694 0.238 0.431
8 H 0.806 0.762 0.931
9 Pt 0.000 0.189 0.494
10 Pt 0.000 0.689 0.729
11 Pt 0.186 0.626 0.229
12 Pt 0.314 0.374 0.729
13 Pt 0.500 0.311 0.229
14 Pt 0.500 0.811 0.994
15 Pt 0.686 0.374 0.729
16 Pt 0.814 0.626 0.229

Calculated values
* calculated total energy: -69.3 eV/cell
* crystal system: orthorhombic

Record 4
A geometry-optimized Cd2HPt structure. Source: Alexandria via LeMat-Bulk, functional PBE-GGA.

abc: 4.569 4.569 4.569
angles: 60.00 60.00 60.00
Fractional coordinates of all 4 atoms:
1 Cd 0.250 0.250 0.250
2 Cd 0.750 0.750 0.750
3 H 0.000 0.000 0.000
4 Pt 0.500 0.500 0.500

Calculated values
* calculated total energy: -10.0 eV/cell
* crystal system: cubic

Record 5
A geometry-optimized CdH3Pt structure. Source: Alexandria via LeMat-Bulk, functional PBE-GGA.

abc: 5.019 4.842 5.289
angles: 90.00 118.28 90.00
Fractional coordinates of all 10 atoms:
1 Cd 0.226 0.000 0.471
2 Cd 0.774 0.500 0.529
3 H 0.281 0.542 0.483
4 H 0.288 0.723 0.003
5 H 0.291 0.234 0.007
6 H 0.709 0.734 0.993
7 H 0.712 0.223 0.997
8 H 0.719 0.042 0.517
9 Pt 0.413 0.474 0.825
10 Pt 0.587 0.974 0.175

Calculated values
* calculated total energy: -34.0 eV/cell
* crystal system: monoclinic

Record 6
A geometry-optimized CdHPt5 structure. Source: Alexandria via LeMat-Bulk, functional PBE-GGA.

abc: 5.764 5.764 9.015
angles: 117.72 117.72 56.87
Fractional coordinates of all 14 atoms:
1 Cd 0.169 0.831 0.750
2 Cd 0.831 0.169 0.250
3 H 0.000 0.000 0.000
4 H 0.000 0.000 0.500
5 Pt 0.094 0.274 0.066
6 Pt 0.266 0.425 0.419
7 Pt 0.274 0.094 0.566
8 Pt 0.341 0.659 0.250
9 Pt 0.425 0.266 0.919
10 Pt 0.575 0.734 0.081
11 Pt 0.659 0.341 0.750
12 Pt 0.726 0.906 0.434
13 Pt 0.734 0.575 0.581
14 Pt 0.906 0.726 0.934

Calculated values
* calculated total energy: -68.7 eV/cell
* crystal system: monoclinic

Record 7
A geometry-optimized CdH6Pt3 structure. Source: Alexandria via LeMat-Bulk, functional PBE-GGA.

abc: 6.328 6.328 5.338
angles: 90.00 90.00 105.08
Fractional coordinates of all 20 atoms:
1 Cd 0.197 0.803 0.500
2 Cd 0.803 0.197 0.000
3 H 0.030 0.534 0.149
4 H 0.138 0.862 0.958
5 H 0.251 0.262 0.655
6 H 0.262 0.251 0.155
7 H 0.390 0.610 0.914
8 H 0.466 0.970 0.149
9 H 0.534 0.030 0.649
10 H 0.610 0.390 0.414
11 H 0.738 0.749 0.655
12 H 0.749 0.738 0.155
13 H 0.862 0.138 0.458
14 H 0.970 0.466 0.649
15 Pt 0.096 0.355 0.399
16 Pt 0.355 0.096 0.899
17 Pt 0.495 0.505 0.660
18 Pt 0.505 0.495 0.160
19 Pt 0.645 0.904 0.399
20 Pt 0.904 0.645 0.899

Calculated values
* calculated total energy: -78.0 eV/cell
* crystal system: orthorhombic

Record 8
A geometry-optimized CdHPt3 structure. Source: Alexandria via LeMat-Bulk, functional PBE-GGA.

abc: 7.701 7.701 5.586
angles: 99.28 99.28 65.42
Fractional coordinates of all 20 atoms:
1 Cd 0.022 0.978 0.750
2 Cd 0.354 0.646 0.250
3 Cd 0.646 0.354 0.750
4 Cd 0.978 0.022 0.250
5 H 0.230 0.558 0.821
6 H 0.442 0.770 0.679
7 H 0.558 0.230 0.321
8 H 0.770 0.442 0.179
9 Pt 0.000 0.332 0.082
10 Pt 0.000 0.668 0.918
11 Pt 0.001 0.663 0.414
12 Pt 0.326 0.331 0.406
13 Pt 0.331 0.326 0.906
14 Pt 0.332 0.000 0.582
15 Pt 0.337 0.999 0.086
16 Pt 0.663 0.001 0.914
17 Pt 0.668 0.000 0.418
18 Pt 0.669 0.674 0.094
19 Pt 0.674 0.669 0.594
20 Pt 0.999 0.337 0.586

Calculated values
* calculated total energy: -91.7 eV/cell
* crystal system: monoclinic